A geometry-optimized NdSnAs2 structure, computed with PBE.

abc: 3.8726 3.8726 9.4294
angles: 78.15 78.15 60.00
Closest atoms and distances in Å follow each position.
Fractional coordinates of all 4 atoms:
1 As 0.1065 0.1065 0.6805  3 Sn 2.78, 1 Nd 2.93
2 Nd 0.0000 0.0000 0.0000  2 As 2.93
3 Sn 0.5000 0.5000 0.5000  6 As 2.78
4 As 0.8935 0.8935 0.3195  3 Sn 2.78, 1 Nd 2.93

Computed properties:
Energy of formation from the pure elements (eV per atom): 0.07
DOS(E_F) (states/eV/atom): 0.963
Total magnetization (μB/cell): 0.0
Symmetry: No. 166

A geometry-optimized MgIrPb2 structure, computed with PBE.

abc: 3.3590 3.3870 8.8884
angles: 67.77 90.00 90.00
Closest atoms and distances in Å follow each position.
Fractional coordinates of all 4 atoms:
1 Pb 0.0000 0.9578 0.0400  4 Ir 2.94-2.95
2 Ir 0.5000 0.2500 0.2500  8 Pb 2.94-2.95
3 Mg 0.5000 0.7500 0.7500  4 Mg 3.36-3.39, 8 Pb 3.37-3.38
4 Pb 0.0000 0.5422 0.4600  4 Ir 2.94-2.95

Computed properties:
Energy of formation from the pure elements (eV per atom): 0.19
DOS(E_F) (states/eV/atom): 0.633
Total magnetization (μB/cell): 0.0
Symmetry: No. 10